No. 1
Density functional theory data (PBE) for crystalline PH3I2 at its relaxed geometry.

```
data_PH3I2
_space_group_name_H-M_alt 'C 1 2/c 1'
_space_group_IT_number 15
_cell_length_a 12.849
_cell_length_b 7.865
_cell_length_c 5.690
_cell_angle_alpha 90.00
_cell_angle_beta 96.32
_cell_angle_gamma 90.00
loop_
_space_group_symop_operation_xyz
'x,y,z'
'-x,-y,-z'
'-x,y,-z+1/2'
'x,-y,z+1/2'
'x+1/2,y+1/2,z'
'-x+1/2,-y+1/2,-z'
'-x+1/2,y+1/2,-z+1/2'
'x+1/2,-y+1/2,z+1/2'
loop_
_atom_site_label
_atom_site_type_symbol
_atom_site_fract_x
_atom_site_fract_y
_atom_site_fract_z
P1 P 0.000 0.006 0.250
H1 H 0.000 0.175 0.750
H2 H 0.075 0.000 0.019
I1 I 0.167 0.453 0.161
```

Computed properties:
E_tot   -69.31 eV for the cell shown
Crystal system   monoclinic

---

No. 2
Density functional theory data (PBE) for crystalline Ta2CuI at its relaxed geometry.

```
data_Ta2CuI
_space_group_name_H-M_alt 'I -4 2 d'
_space_group_IT_number 122
_space_group_name_Hall 'I -4 2bw'
_cell_length_a 3.964
_cell_length_b 3.964
_cell_length_c 20.035
_cell_angle_alpha 90.00
_cell_angle_beta 90.00
_cell_angle_gamma 90.00
loop_
_atom_site_label
_atom_site_type_symbol
_atom_site_fract_x
_atom_site_fract_y
_atom_site_fract_z
Ta1 Ta 0.239 0.250 0.125
Cu1 Cu 0.000 0.000 0.000
I1 I 0.000 0.000 0.500
```

Computed properties:
E above lowest polymorph   26 meV per atom
E_tot   -104.06 eV for the cell shown
Crystal system   tetragonal

---

No. 3
Density functional theory data (PBE) for crystalline Ce8AlAu2 at its relaxed geometry.

```
data_Ce8AlAu2
_space_group_name_H-M_alt 'I m m m'
_space_group_IT_number 71
_space_group_name_Hall '-I 2 2'
_cell_length_a 5.044
_cell_length_b 7.319
_cell_length_c 15.655
_cell_angle_alpha 90.00
_cell_angle_beta 90.00
_cell_angle_gamma 90.00
loop_
_atom_site_label
_atom_site_type_symbol
_atom_site_fract_x
_atom_site_fract_y
_atom_site_fract_z
Ce1 Ce 0.000 0.000 0.127
Ce2 Ce 0.000 0.240 0.340
Ce3 Ce 0.000 0.270 0.000
Al1 Al 0.000 0.500 0.500
Au1 Au 0.000 0.500 0.178
```

Computed properties:
Energy of formation from the pure elements   -2.39 eV per formula unit
E_tot   -120.31 eV for the cell shown
Crystal system   orthorhombic

---

No. 4
Density functional theory data (PBE) for crystalline KSr3Ir at its relaxed geometry.

```
data_KSr3Ir
_space_group_name_H-M_alt 'C m m m'
_space_group_IT_number 65
_space_group_name_Hall '-C 2 2'
_cell_length_a 11.940
_cell_length_b 17.731
_cell_length_c 4.489
_cell_angle_alpha 90.00
_cell_angle_beta 90.00
_cell_angle_gamma 90.00
loop_
_atom_site_label
_atom_site_type_symbol
_atom_site_fract_x
_atom_site_fract_y
_atom_site_fract_z
K1 K 0.250 0.000 0.000
Sr1 Sr 0.000 0.142 0.500
Sr2 Sr 0.000 0.358 0.500
Sr3 Sr 0.250 0.250 0.000
Ir1 Ir 0.000 0.250 0.000
```

Computed properties:
Energy of formation from the pure elements   -0.47 eV per formula unit
E above lowest polymorph   6 meV per atom
E_tot   -61.90 eV for the cell shown
Crystal system   orthorhombic

---

No. 5
Density functional theory data (PBE) for crystalline SmHo2Tl3Te6 at its relaxed geometry.

```
data_SmHo2Tl3Te6
_space_group_name_H-M_alt 'C 1 2/m 1'
_space_group_IT_number 12
_cell_length_a 7.737
_cell_length_b 13.397
_cell_length_c 8.582
_cell_angle_alpha 90.00
_cell_angle_beta 107.49
_cell_angle_gamma 90.00
loop_
_space_group_symop_operation_xyz
'x,y,z'
'-x,-y,-z'
'-x,y,-z'
'x,-y,z'
'x+1/2,y+1/2,z'
'-x+1/2,-y+1/2,-z'
'-x+1/2,y+1/2,-z'
'x+1/2,-y+1/2,z'
loop_
_atom_site_label
_atom_site_type_symbol
_atom_site_fract_x
_atom_site_fract_y
_atom_site_fract_z
Sm1 Sm 0.000 0.000 0.000
Ho1 Ho 0.000 0.333 0.000
Tl1 Tl 0.000 0.165 0.500
Tl2 Tl 0.000 0.500 0.500
Te1 Te 0.232 0.500 0.213
Te2 Te 0.241 0.170 0.215
```

Computed properties:
E_tot   -104.93 eV for the cell shown
Crystal system   monoclinic

---

No. 6
Density functional theory data (PBE) for crystalline TlZn2H at its relaxed geometry.

```
data_TlZn2H
_space_group_name_H-M_alt 'I -4 2 d'
_space_group_IT_number 122
_space_group_name_Hall 'I -4 2bw'
_cell_length_a 4.851
_cell_length_b 4.851
_cell_length_c 12.019
_cell_angle_alpha 90.00
_cell_angle_beta 90.00
_cell_angle_gamma 90.00
loop_
_atom_site_label
_atom_site_type_symbol
_atom_site_fract_x
_atom_site_fract_y
_atom_site_fract_z
Tl1 Tl 0.000 0.000 0.000
Zn1 Zn 0.043 0.250 0.625
H1 H 0.000 0.000 0.500
```

Computed properties:
E above lowest polymorph   0 meV per atom
E_tot   -28.35 eV for the cell shown
Crystal system   tetragonal

---

No. 7
Density functional theory data (PBE) for crystalline KCu at its relaxed geometry.

```
data_KCu
_space_group_name_H-M_alt 'P -3 m 1'
_space_group_IT_number 164
_space_group_name_Hall '-P 3 2"'
_cell_length_a 4.1158
_cell_length_b 4.1158
_cell_length_c 9.7785
_cell_angle_alpha 90.00
_cell_angle_beta 90.00
_cell_angle_gamma 120.00
loop_
_atom_site_label
_atom_site_type_symbol
_atom_site_fract_x
_atom_site_fract_y
_atom_site_fract_z
K1 K 0.3333 0.6667 0.2097
Cu1 Cu 0.3333 0.6667 0.5238
```

Computed properties:
Energy of formation from the pure elements   0.82 eV per formula unit
E above lowest polymorph   169 meV per atom
E_tot   -8.74 eV for the cell shown
Crystal system   trigonal

---

No. 8
Density functional theory data (PBE) for crystalline Er8TlSb2 at its relaxed geometry.

```
data_Er8TlSb2
_space_group_name_H-M_alt 'C 1 2/m 1'
_space_group_IT_number 12
_cell_length_a 19.016
_cell_length_b 4.905
_cell_length_c 6.985
_cell_angle_alpha 90.00
_cell_angle_beta 100.95
_cell_angle_gamma 90.00
loop_
_space_group_symop_operation_xyz
'x,y,z'
'-x,-y,-z'
'-x,y,-z'
'x,-y,z'
'x+1/2,y+1/2,z'
'-x+1/2,-y+1/2,-z'
'-x+1/2,y+1/2,-z'
'x+1/2,-y+1/2,z'
loop_
_atom_site_label
_atom_site_type_symbol
_atom_site_fract_x
_atom_site_fract_y
_atom_site_fract_z
Er1 Er 0.017 0.000 0.254
Er2 Er 0.094 0.500 0.987
Er3 Er 0.162 0.500 0.520
Er4 Er 0.215 0.000 0.845
Tl1 Tl 0.000 0.500 0.500
Sb1 Sb 0.180 0.000 0.268
```

Computed properties:
E_tot   -102.13 eV for the cell shown
Crystal system   monoclinic